This record from Alexandria describes KPS2N after structural relaxation. The functional is PBE-GGA.

Output
Space-group type: No. 123
Polymorph energy (0 for the lowest one) in eV/atom: 2.059
Total magnetization in μB/atom: 1.001
Density in Mg/m³: 0.95
Uncorrected energy in eV per atom: -2.320
ΔE_f (raw) in eV/atom: 2.298

Unit cell a=6.192 b=6.192 c=6.744 alpha=90.00 beta=90.00 gamma=90.00
Sites, in units of the cell vectors:
K 0.000 0.000 0.000
P 0.000 0.000 0.500
S 0.000 0.500 0.000
S 0.500 0.000 0.000
N 0.500 0.500 0.500


This record from Alexandria describes KPS2N after structural relaxation. The functional is PBE-GGA.

Output
Space-group type: No. 123
Polymorph energy (0 for the lowest one) in eV/atom: 0.000
Total magnetization in μB/atom: 0.000
Density in Mg/m³: 2.83
Uncorrected energy in eV per atom: -4.379
ΔE_f (raw) in eV/atom: 0.239

Unit cell a=5.176 b=5.176 c=3.241 alpha=90.00 beta=90.00 gamma=90.00
Sites, in units of the cell vectors:
K 0.000 0.000 0.000
P 0.500 0.500 0.500
S 0.000 0.500 0.500
S 0.500 0.000 0.500
N 0.500 0.500 0.000


This record from Alexandria describes KPS2N after structural relaxation. The functional is PBE-GGA.

Output
Space-group type: No. 123
Polymorph energy (0 for the lowest one) in eV/atom: 1.865
Total magnetization in μB/atom: 0.600
Density in Mg/m³: 1.38
Uncorrected energy in eV per atom: -2.514
ΔE_f (raw) in eV/atom: 2.103

Unit cell a=5.909 b=5.909 c=5.100 alpha=90.00 beta=90.00 gamma=90.00
Sites, in units of the cell vectors:
K 0.000 0.000 0.000
P 0.500 0.500 0.500
S 0.000 0.500 0.000
S 0.500 0.000 0.000
N 0.000 0.000 0.500


This record from Alexandria describes KScP2N after structural relaxation. The functional is PBE-GGA.

Output
Space-group type: No. 123
Total magnetization in μB/atom: 0.000
Density in Mg/m³: 3.21
Uncorrected energy in eV per atom: -4.741
ΔE_f (raw) in eV/atom: 0.574

Unit cell a=4.255 b=4.255 c=4.573 alpha=90.00 beta=90.00 gamma=90.00
Sites, in units of the cell vectors:
K 0.000 0.000 0.000
Sc 0.500 0.500 0.000
P 0.000 0.500 0.500
P 0.500 0.000 0.500
N 0.000 0.000 0.500


Q: Which of these has the highest ΔE_f (raw)?
A: number 1